A relaxed structure of Cd2FePd2. Source: the Alexandria database, functional PBE-GGA.

POSCAR file:
```
Cd2FePd2
1.0
3.7905 0.0000 0.0000
0.0000 3.7905 0.0000
1.8953 1.8953 6.6965
Fe Pd Cd
1 2 2
Cartesian
0.0000 0.0000 0.0000
1.8953 1.8953 1.2731
3.7905 3.7905 5.4234
3.7905 1.8953 3.3483
1.8953 3.7905 3.3483
```

Summary:
The calculation puts the energy above the lowest structure with this stoichiometry at 0.373 eV per atom. Its volume is 19.243 Å³ per atom. For the calculated formation energy, the calculation gives 0.338 eV per atom. Its space group is No. 139.

***

A relaxed structure of CdFe2Pd2. Source: the Alexandria database, functional PBE-GGA.

POSCAR file:
```
CdFe2Pd2
1.0
7.5117 0.0000 0.0000
0.0000 7.5117 0.0000
0.0000 0.0000 2.7831
Fe Pd Cd
4 4 2
Cartesian
1.2209 4.9767 1.3915
4.9767 6.2908 1.3915
6.2908 2.5350 1.3915
2.5350 1.2209 1.3915
2.7608 6.5167 0.0000
6.5167 4.7509 0.0000
4.7509 0.9950 0.0000
0.9950 2.7608 0.0000
0.0000 0.0000 0.0000
3.7558 3.7558 0.0000
```

Summary:
The calculation puts the energy above the lowest structure with this stoichiometry at 0.016 eV per atom. Its volume is 15.704 Å³ per atom. For the calculated formation energy, the calculation gives 0.046 eV per atom. Its space group is No. 127.

***

A relaxed structure of Cd6FePd12. Source: the Alexandria database, functional PBE-GGA.

POSCAR file:
```
Cd6FePd12
1.0
6.9912 0.8292 0.9934
-0.2403 7.0361 0.9934
-0.2403 -0.2799 7.1004
Cd Fe Pd
6 1 12
Cartesian
5.4670 5.8718 4.2536
4.2399 1.7061 2.5497
1.5356 4.5250 2.1343
1.0437 1.7136 4.8335
2.2708 5.8792 6.5373
4.9751 3.0604 6.9528
0.0000 0.0000 0.0000
5.7806 3.0945 4.3836
2.8403 6.2838 3.8281
2.1824 3.2082 6.8667
0.7301 4.4908 4.7035
3.6704 1.3015 5.2590
4.3282 4.3771 2.2204
0.5757 0.0567 2.4519
6.5419 5.2761 8.0806
4.2233 6.6521 8.5932
5.9350 7.5287 6.6351
-0.0313 2.3093 1.0065
2.2873 0.9332 0.4939
```

Summary:
Its volume is 18.641 Å³ per atom. For the calculated formation energy, the calculation gives -0.070 eV per atom. Its space group is No. 148.

***

A relaxed structure of CdFe3Pd. Source: the Alexandria database, functional PBE-GGA.

POSCAR file:
```
CdFe3Pd
1.0
-3.6183 -2.7900 -0.9128
1.8444 -3.2878 2.7382
-2.2838 1.7650 3.6576
Fe Pd Cd
3 1 1
Cartesian
0.9222 -1.6439 1.3691
-1.1419 0.8825 1.8288
-1.8091 -1.3950 -0.4564
0.0000 0.0000 0.0000
-2.0288 -2.1564 2.7415
```

Summary:
The calculation puts the energy above the lowest structure with this stoichiometry at 0.000 eV per atom. Its volume is 20.230 Å³ per atom. For the calculated formation energy, the calculation gives 1.084 eV per atom. Its space group is No. 221.

***

A relaxed structure of CdFe2Pd2. Source: the Alexandria database, functional PBE-GGA.

POSCAR file:
```
CdFe2Pd2
1.0
-1.6218 -4.5500 5.6807
-3.7482 -4.4667 -4.6478
2.3454 -1.4535 -0.4946
Fe Pd Cd
4 4 2
Cartesian
-3.9564 -5.7297 -1.9234
-3.7346 -6.7740 2.1975
-1.4137 -3.2871 2.9563
-1.6354 -2.2427 -1.1646
-1.6679 -4.5830 -2.3853
-3.0037 -7.4835 -0.1958
-1.3567 -5.8872 2.9236
-0.0209 -2.9868 0.7340
0.0000 0.0000 0.0000
-2.6850 -4.5084 0.5164
```

Summary:
The calculation puts the energy above the lowest structure with this stoichiometry at 0.000 eV per atom. Its volume is 15.587 Å³ per atom. For the calculated formation energy, the calculation gives 0.030 eV per atom. Its space group is No. 127.

***

A relaxed structure of CdFePd4. Source: the Alexandria database, functional PBE-GGA.

POSCAR file:
```
CdFePd4
1.0
2.8422 0.0000 0.0000
0.0000 2.8422 0.0000
0.0000 0.0000 11.5400
Cd Fe Pd
1 1 4
Cartesian
0.0000 0.0000 0.0000
1.4211 1.4211 5.7700
1.4211 1.4211 2.0385
0.0000 0.0000 7.5052
0.0000 0.0000 4.0349
1.4211 1.4211 9.5016
```

Summary:
The calculation puts the energy above the lowest structure with this stoichiometry at 0.000 eV per atom. Its volume is 15.537 Å³ per atom. For the calculated formation energy, the calculation gives -0.166 eV per atom. Its space group is No. 123.